The following is a DFT calculation (PBE) of a relaxed Ac3TbSn2 crystal.

## Properties
The calculation puts the energy at -53.68 eV per cell. Its formation energy is -0.31 eV per atom. The volume is 249.31 Å³/f.u. The crystal system is orthorhombic.

Lattice parameters (Å, degrees): 9.611 9.611 9.611 133.57 72.64 127.53
Sites, in units of the cell vectors:
1 Ac 0.039 0.750 0.289
2 Ac 0.250 0.250 0.000
3 Ac 0.461 0.750 0.711
4 Ac 0.539 0.250 0.289
5 Ac 0.750 0.750 0.000
6 Ac 0.961 0.250 0.711
7 Tb 0.000 0.500 0.500
8 Tb 0.500 0.000 0.500
9 Sn 0.139 0.191 0.329
10 Sn 0.361 0.691 0.052
11 Sn 0.639 0.309 0.948
12 Sn 0.861 0.809 0.671

The following is a DFT calculation (PBE) of a relaxed CaNd2Ge crystal.

## Properties
The value obtained for the energy above the most stable polymorph in this dataset is 3 meV/atom. The calculation puts the energy at -17.28 eV per cell. Its formation energy is -0.28 eV per atom. The volume is 117.69 Å³/f.u. The crystal system is tetragonal.

Lattice parameters (Å, degrees): 4.097 4.097 7.011 90.00 90.00 90.00
Sites, in units of the cell vectors:
1 Ca 0.000 0.000 0.000
2 Nd 0.500 0.500 0.288
3 Nd 0.500 0.500 0.712
4 Ge 0.000 0.000 0.500

The following is a DFT calculation (PBE) of a relaxed NpUV2 crystal.

## Properties
The value obtained for the energy above the most stable polymorph in this dataset is 0 meV/atom. The calculation puts the energy at -40.98 eV per cell. Its formation energy is 0.37 eV per atom. The volume is 66.96 Å³/f.u. The crystal system is tetragonal.

Lattice parameters (Å, degrees): 3.712 3.712 4.861 90.00 90.00 90.00
Sites, in units of the cell vectors:
1 Np 0.000 0.000 0.000
2 U 0.500 0.500 0.000
3 V 0.000 0.500 0.500
4 V 0.500 0.000 0.500

The following is a DFT calculation (PBE) of a relaxed KAlS2 crystal.

## Properties
The calculation puts the energy at -16.75 eV per cell. The volume is 108.30 Å³/f.u. The crystal system is trigonal. The formation energy from raw total energies is -914 meV/atom.

Lattice parameters (Å, degrees): 8.449 8.449 8.449 26.82 26.82 26.82
Sites, in units of the cell vectors:
1 K 0.000 0.000 0.000
2 Al 0.493 0.493 0.493
3 S 0.407 0.407 0.407
4 S 0.866 0.866 0.866

The following is a DFT calculation (PBE) of a relaxed ZrSnS2 crystal.

## Properties
The calculation puts the energy at -25.14 eV per cell. The volume is 97.04 Å³/f.u. The crystal system is trigonal. The formation energy from raw total energies is -1084 meV/atom.

Lattice parameters (Å, degrees): 9.057 9.057 9.057 22.70 22.70 22.70
Sites, in units of the cell vectors:
1 Zr 0.000 0.000 0.000
2 Sn 0.500 0.500 0.500
3 S 0.392 0.392 0.392
4 S 0.608 0.608 0.608

The following is a DFT calculation (PBE) of a relaxed EuGa4Sb crystal.

## Properties
The calculation puts the energy at -27.87 eV per cell. The volume is 132.64 Å³/f.u. The crystal system is cubic. The formation energy from raw total energies is -228 meV/atom.

Lattice parameters (Å, degrees): 5.724 5.724 5.724 60.00 60.00 60.00
Sites, in units of the cell vectors:
1 Eu 0.000 0.000 0.000
2 Ga 0.126 0.625 0.625
3 Ga 0.625 0.126 0.625
4 Ga 0.625 0.625 0.126
5 Ga 0.625 0.625 0.625
6 Sb 0.250 0.250 0.250